# 1
Computed, not measured: a relaxed structure of Cs2As2Pd at the GGA-PBE level of DFT.

a = 8.485 Å, b = 8.485 Å, c = 6.431 Å
α = 90.00°, β = 90.00°, γ = 130.08°
Fractional positions:
Cs (0.792, 0.208, 0.250)
Cs (0.208, 0.792, 0.750)
Cs (0.416, 0.584, 0.250)
Cs (0.584, 0.416, 0.750)
As (0.069, 0.270, 0.750)
As (0.931, 0.730, 0.250)
As (0.270, 0.069, 0.250)
As (0.730, 0.931, 0.750)
Pd (0.000, 0.000, 0.000)
Pd (0.000, 0.000, 0.500)

Values from the calculation:
Polymorph energy (0 for the lowest one) (eV per atom): 0.000
Magnetization (μB per cell): 0.00
Symmetry: Cmcm (63)
Calculated formation energy (eV/atom): -0.529
Uncorrected energy (eV per atom): -3.7687



# 2
Computed, not measured: a relaxed structure of CeGa12Ir4 at the GGA-PBE level of DFT.

a = 7.651 Å, b = 7.651 Å, c = 7.651 Å
α = 109.47°, β = 109.47°, γ = 109.47°
Fractional positions:
Ce (0.000, 0.000, 0.000)
Ga (0.840, 0.338, 0.178)
Ga (0.338, 0.497, 0.160)
Ga (0.822, 0.160, 0.662)
Ga (0.338, 0.178, 0.840)
Ga (0.178, 0.840, 0.338)
Ga (0.662, 0.503, 0.840)
Ga (0.497, 0.160, 0.338)
Ga (0.503, 0.840, 0.662)
Ga (0.662, 0.822, 0.160)
Ga (0.840, 0.662, 0.503)
Ga (0.160, 0.338, 0.497)
Ga (0.160, 0.662, 0.822)
Ir (0.000, 0.500, 0.000)
Ir (0.500, 0.000, 0.000)
Ir (0.500, 0.500, 0.500)
Ir (0.000, 0.000, 0.500)

Values from the calculation:
Magnetization (μB per cell): 1.32
Symmetry: Im-3 (204)
Calculated formation energy (eV/atom): -0.181
Uncorrected energy (eV per atom): -4.7519



# 3
Computed, not measured: a relaxed structure of Te2OsPdN at the GGA-PBE level of DFT.

a = 5.322 Å, b = 5.322 Å, c = 3.607 Å
α = 90.00°, β = 90.00°, γ = 90.00°
Fractional positions:
Te (0.000, 0.500, 0.000)
Te (0.500, 0.000, 0.000)
Os (0.500, 0.500, 0.500)
Pd (0.000, 0.000, 0.000)
N (0.000, 0.000, 0.500)

Values from the calculation:
Formation energy from raw total energies (eV/atom): 1.355
Polymorph energy (0 for the lowest one) (eV per atom): 0.943
Magnetization (μB per cell): 0.00
Symmetry: P4/mmm (123)
Uncorrected energy (eV per atom): -4.8516